VASP calculation (GGA-PBE) on an optimized crystal structure of Lu2RhSe.

```
4
Lattice="3.413 0.000 0.000 0.000 3.413 0.000 0.000 0.000 7.095" Properties=species:S:1:pos:R:3 pbc="T T T"
Lu 0.000 0.000 5.449
Lu 0.000 0.000 1.646
Rh 1.707 1.707 0.000
Se 1.707 1.707 3.548
```

Output
- Calculated volume: 20.67 Å³/atom
- SG: No. 123
- Total energy: -6.12 eV per atom
- Crystal system: tetragonal
- Energy above the lowest structure with this stoichiometry: 0.00 eV per formula unit

***

VASP calculation (GGA-PBE) on an optimized crystal structure of LuSiRh.

```
3
Lattice="3.622 0.000 0.000 0.000 4.176 0.000 0.000 -2.088 3.617" Properties=species:S:1:pos:R:3 pbc="T T T"
Si 0.604 2.088 1.206
Lu 2.414 0.000 2.411
Rh 0.604 0.000 0.000
```

Output
- Calculated volume: 18.24 Å³/atom
- SG: No. 187
- Total energy: -6.72 eV per atom
- Crystal system: hexagonal

***

VASP calculation (GGA-PBE) on an optimized crystal structure of LuSiRh2.

```
4
Lattice="3.510 0.000 0.000 0.000 4.236 0.000 0.000 0.000 4.236" Properties=species:S:1:pos:R:3 pbc="T T T"
Si 1.755 0.000 0.000
Lu 1.755 2.118 2.118
Rh 0.000 0.000 2.118
Rh 0.000 2.118 0.000
```

Output
- Calculated volume: 15.75 Å³/atom
- SG: No. 123
- Total energy: -7.00 eV per atom
- Crystal system: tetragonal

***

VASP calculation (GGA-PBE) on an optimized crystal structure of LuSi2Rh.

```
4
Lattice="-2.268 -2.690 2.025 1.775 -2.764 2.386 -0.438 1.188 5.157" Properties=species:S:1:pos:R:3 pbc="T T T"
Si -0.669 -3.520 6.783
Si -0.262 -0.746 2.785
Lu 0.000 0.000 0.000
Rh -0.465 -2.133 4.784
```

Output
- Calculated volume: 17.00 Å³/atom
- SG: No. 166
- Total energy: -6.52 eV per atom
- Crystal system: trigonal

***

VASP calculation (GGA-PBE) on an optimized crystal structure of LuSiRh2.

```
4
Lattice="2.993 0.000 0.000 0.000 2.993 0.000 0.000 0.000 6.999" Properties=species:S:1:pos:R:3 pbc="T T T"
Si 1.497 1.497 0.000
Lu 1.497 1.497 3.500
Rh 0.000 0.000 5.585
Rh 0.000 0.000 1.414
```

Output
- Calculated volume: 15.68 Å³/atom
- SG: No. 123
- Total energy: -6.99 eV per atom
- Crystal system: tetragonal

***

VASP calculation (GGA-PBE) on an optimized crystal structure of Lu2SiRh.

```
4
Lattice="-0.114 1.449 3.307 1.905 -3.860 1.757 4.239 1.799 -0.642" Properties=species:S:1:pos:R:3 pbc="T T T"
Si -0.057 0.724 1.654
Lu 2.119 0.900 -0.321
Lu 0.952 -1.930 0.878
Rh 3.014 -0.306 2.211
```

Output
- Calculated volume: 19.52 Å³/atom
- SG: No. 123
- Total energy: -6.22 eV per atom
- Crystal system: tetragonal

***

VASP calculation (GGA-PBE) on an optimized crystal structure of LuSiRh.

```
12
Lattice="4.188 0.000 0.000 0.000 6.752 0.000 0.000 0.000 7.354" Properties=species:S:1:pos:R:3 pbc="T T T"
Lu 1.047 0.018 5.956
Lu 3.141 6.734 1.399
Lu 1.047 3.394 5.076
Lu 3.141 3.358 2.279
Si 1.047 1.970 0.794
Si 3.141 4.783 6.561
Si 1.047 5.346 2.883
Si 3.141 1.406 4.471
Rh 3.141 5.701 4.166
Rh 1.047 1.051 3.188
Rh 3.141 2.325 6.865
Rh 1.047 4.427 0.489
```

Output
- Calculated volume: 17.33 Å³/atom
- SG: No. 62
- Total energy: -6.86 eV per atom
- Crystal system: orthorhombic

***

VASP calculation (GGA-PBE) on an optimized crystal structure of Sm2LuRh.

```
4
Lattice="-2.561 2.173 -1.383 -3.376 -0.092 1.337 0.586 8.167 6.972" Properties=species:S:1:pos:R:3 pbc="T T T"
Lu 0.000 0.000 0.000
Rh -2.676 5.124 3.463
Sm -0.247 5.739 4.702
Sm -5.104 4.508 2.224
```

Output
- Calculated volume: 30.13 Å³/atom
- SG: No. 166
- Total energy: -5.40 eV per atom
- Crystal system: trigonal
- Calculated formation energy: -0.07 eV/atom
- Energy above the lowest structure with this stoichiometry: 0.88 eV per formula unit

***

Look up the calculated volume of the third one. 15.75 Å³/atom